[1]
This record from Alexandria via LeMat-Bulk describes crystalline Cu5Bi3S12 at its relaxed geometry. The functional is PBE-GGA.

abc: 12.901 12.901 12.901
angles: 109.47 109.47 109.47
Atoms (fractional coordinates):
1 Cu 0.250 0.875 0.125
2 Cu 0.750 0.625 0.375
3 Cu 0.625 0.875 0.250
4 Cu 0.375 0.250 0.125
5 Cu 0.000 0.500 0.500
6 Cu 0.125 0.375 0.250
7 Cu 0.125 0.750 0.375
8 Cu 0.750 0.125 0.875
9 Cu 0.000 0.500 0.000
10 Cu 0.000 0.000 0.000
11 Cu 0.875 0.250 0.625
12 Cu 0.500 0.000 0.500
13 Cu 0.875 0.625 0.750
14 Cu 0.500 0.000 0.000
15 Cu 0.500 0.500 0.500
16 Cu 0.000 0.000 0.500
17 Cu 0.500 0.500 0.000
18 Cu 0.250 0.375 0.625
19 Cu 0.625 0.750 0.875
20 Cu 0.375 0.125 0.750
21 Bi 0.750 0.375 0.125
22 Bi 0.125 0.875 0.750
23 Bi 0.125 0.250 0.875
24 Bi 0.375 0.625 0.250
25 Bi 0.375 0.750 0.625
26 Bi 0.625 0.250 0.375
27 Bi 0.625 0.375 0.750
28 Bi 0.875 0.125 0.250
29 Bi 0.250 0.125 0.375
30 Bi 0.250 0.625 0.875
31 Bi 0.875 0.750 0.125
32 Bi 0.750 0.875 0.625
33 S 0.476 0.677 0.094
34 S 0.382 0.976 0.800
35 S 0.906 0.082 0.882
36 S 0.677 0.200 0.582
37 S 0.024 0.618 0.700
38 S 0.323 0.524 0.406
39 S 0.024 0.406 0.823
40 S 0.177 0.094 0.976
41 S 0.594 0.618 0.418
42 S 0.582 0.882 0.406
43 S 0.177 0.082 0.700
44 S 0.618 0.594 0.918
45 S 0.823 0.906 0.024
46 S 0.976 0.382 0.300
47 S 0.300 0.418 0.823
48 S 0.976 0.594 0.177
49 S 0.418 0.300 0.323
50 S 0.700 0.582 0.177
51 S 0.918 0.094 0.618
52 S 0.200 0.677 0.082
53 S 0.594 0.976 0.677
54 S 0.323 0.800 0.418
55 S 0.406 0.382 0.582
56 S 0.118 0.418 0.094
57 S 0.118 0.700 0.524
58 S 0.618 0.024 0.200
59 S 0.094 0.918 0.118
60 S 0.382 0.406 0.082
61 S 0.700 0.118 0.024
62 S 0.918 0.823 0.800
63 S 0.082 0.177 0.200
64 S 0.200 0.524 0.618
65 S 0.800 0.323 0.918
66 S 0.094 0.177 0.476
67 S 0.906 0.823 0.524
68 S 0.582 0.700 0.677
69 S 0.882 0.300 0.476
70 S 0.524 0.323 0.906
71 S 0.823 0.918 0.300
72 S 0.418 0.118 0.594
73 S 0.300 0.882 0.976
74 S 0.882 0.582 0.906
75 S 0.476 0.800 0.882
76 S 0.406 0.024 0.323
77 S 0.524 0.200 0.118
78 S 0.082 0.906 0.382
79 S 0.677 0.476 0.594
80 S 0.800 0.476 0.382

formation energy without anion corrections = -0.009 eV per atom
symmetry = Ia-3d (230)
DFT total energy = -0.1504 hartree per atom

[2]
This record from Alexandria via LeMat-Bulk describes crystalline Cu3BiS2 at its relaxed geometry. The functional is PBE-GGA.

abc: 3.636 7.518 11.116
angles: 127.90 90.00 104.00
Atoms (fractional coordinates):
1 S 0.768 0.536 0.339
2 S 0.466 0.932 0.244
3 S 0.534 0.068 0.756
4 S 0.232 0.464 0.661
5 Cu 0.622 0.243 0.643
6 Cu 0.668 0.336 0.429
7 Cu 0.960 0.921 0.577
8 Cu 0.040 0.079 0.423
9 Cu 0.378 0.757 0.357
10 Cu 0.332 0.664 0.571
11 Bi 0.882 0.765 0.976
12 Bi 0.118 0.235 0.024

formation energy without anion corrections = -0.060 eV per atom
symmetry = C2/m (12)
DFT total energy = -0.1518 hartree per atom